Na3TlSe PBE optimized geometry; E = -2.39 eV/atom; volume = 170.7 Å³ per cell; formation energy (no corrections) = -2.13 eV/f.u.; density = 3427 kg/m³; polymorph energy (0 for the lowest one) = 0 meV per atom; space-group type = Pm-3m (221)
1.0
5.547 0.000 0.000
0.000 5.547 0.000
0.000 0.000 5.547
Na Tl Se
3 1 1
Direct
0.000 0.000 0.500
0.000 0.500 0.000
0.500 0.000 0.000
0.500 0.500 0.500
0.000 0.000 0.000



Pm3Sm2Y6 PBE optimized geometry; E = -5.49 eV/atom; volume = 384.9 Å³ per cell; density = 5476 kg/m³; polymorph energy (0 for the lowest one) = 0 meV per atom; space-group type = C2/m (12); calculated formation energy = 0.19 eV per atom
1.0
3.102 -5.382 0.000
3.102 5.382 0.000
-2.086 0.000 11.529
Pm Sm Y
3 2 6
Direct
0.000 0.000 0.000
0.336 0.664 0.000
0.664 0.336 0.000
0.167 0.833 0.500
0.833 0.167 0.500
0.085 0.417 0.252
0.250 0.250 0.749
0.417 0.085 0.252
0.583 0.915 0.748
0.750 0.750 0.251
0.915 0.583 0.748



ErSc2IrO PBE optimized geometry; E = -7.75 eV/atom; volume = 88.2 Å³ per cell; formation energy (no corrections) = -7.72 eV/f.u.; density = 8761 kg/m³; space-group type = P4mm (99)
1.0
4.257 0.000 0.000
0.000 4.257 0.000
0.000 0.000 4.867
Er Sc Ir O
1 2 1 1
Direct
0.000 0.000 0.000
0.000 0.500 0.485
0.500 0.000 0.485
0.500 0.500 0.077
0.000 0.000 0.523



ScMoRh PBE optimized geometry; E = -8.27 eV/atom; volume = 49.8 Å³ per cell; density = 8129 kg/m³; polymorph energy (0 for the lowest one) = 115 meV per atom; space-group type = P3m1 (156); calculated formation energy = -0.10 eV per atom
1.0
4.495 0.000 0.000
-2.248 3.893 0.000
0.000 0.000 2.846
Sc Mo Rh
1 1 1
Direct
0.000 0.000 0.000
0.333 0.667 0.368
0.667 0.333 0.628



TaCoAg2 PBE optimized geometry; E = -5.73 eV/atom; volume = 64.0 Å³ per cell; density = 11827 kg/m³; polymorph energy (0 for the lowest one) = 285 meV per atom; space-group type = Pmmm (47); calculated formation energy = 0.44 eV per atom
1.0
2.766 0.000 0.000
0.000 4.388 0.000
0.000 0.000 5.271
Ta Co Ag
1 1 2
Direct
0.000 0.000 0.000
0.000 0.000 0.500
0.500 0.500 0.254
0.500 0.500 0.746



Ag2PbSe2 PBE optimized geometry; E = -3.31 eV/atom; volume = 230.3 Å³ per cell; formation energy (no corrections) = -0.19 eV/f.u.; density = 8377 kg/m³; polymorph energy (0 for the lowest one) = 165 meV per atom; space-group type = P4/mbm (127)
1.0
8.193 0.000 0.000
0.000 8.193 0.000
0.000 0.000 3.430
Ag Pb Se
4 2 4
Direct
0.128 0.372 0.000
0.372 0.872 0.000
0.628 0.128 0.000
0.872 0.628 0.000
0.000 0.000 0.500
0.500 0.500 0.500
0.171 0.671 0.500
0.329 0.171 0.500
0.671 0.829 0.500
0.829 0.329 0.500